Record 1
CoSbTe2I | meta-GGA SCAN | PBEsol geometry

Calculated values
Raw formation energy   0.4422 eV/atom
N(E_F)   6.10 states/eV/cell
Crystal system   tetragonal

```
5
Lattice="-3.3384 3.6197 -0.4007 -2.5950 -1.9672 3.8503 2.6614 2.8122 3.2306" Properties=species:S:1:pos:R:3 pbc="T T T"
I -1.6360 2.2324 3.3401
Sb -1.6692 1.8099 -0.2003
Te 1.3307 1.4061 1.6153
Te -1.2975 -0.9836 1.9251
Co 0.0000 0.0000 0.0000
```



Record 2
Sb5Au | meta-GGA SCAN | PBEsol geometry

Calculated values
Raw formation energy   0.5697 eV/atom
E above lowest polymorph   283.4 meV/atom
N(E_F)   4.32 states/eV/cell
Crystal system   cubic

```
6
Lattice="-3.9629 -1.6036 4.3328 -5.2042 -2.7722 -1.5104 -0.8200 -5.8784 1.3498" Properties=species:S:1:pos:R:3 pbc="T T T"
Au 0.0000 0.0000 0.0000
Sb -2.4968 -2.5635 1.0431
Sb -3.6341 -5.0223 3.3683
Sb -6.2473 -6.4144 2.6099
Sb -4.2574 -5.6091 0.4342
Sb -5.8356 -3.4626 1.9321
```



Record 3
Mg2TeMo | meta-GGA SCAN | PBEsol geometry

Calculated values
Raw formation energy   0.2301 eV/atom
N(E_F)   2.27 states/eV/cell
Crystal system   monoclinic

```
4
Lattice="3.0675 0.0000 -0.1326 0.0000 4.7008 0.0000 -1.3344 0.0000 5.5757" Properties=species:S:1:pos:R:3 pbc="T T T"
Mg -1.1347 0.0000 5.4807
Mg 1.7724 2.3504 1.4501
Mo 0.2858 0.0000 2.7418
Te 0.3416 2.3504 4.0677
```



Record 4
CaB2PdSe | meta-GGA SCAN | PBEsol geometry

Calculated values
Raw formation energy   2.0739 eV/atom
N(E_F)   2.40 states/eV/cell
Crystal system   tetragonal

```
5
Lattice="-1.2352 2.6327 3.6034 -4.0193 0.9685 -2.0854 -2.0316 -3.8593 2.1232" Properties=species:S:1:pos:R:3 pbc="T T T"
Ca 0.0000 0.0000 0.0000
B -2.0096 0.4843 -1.0427
B -0.6176 1.3164 1.8017
Se -3.6430 -0.1290 1.8206
Pd -1.0158 -1.9296 1.0616
```



Record 5
Ba3GaAs3 | meta-GGA SCAN | PBEsol geometry

Calculated values
Crystal system   orthorhombic
Energy of formation   -8.06 eV per formula unit

```
56
Lattice="6.7771 0.0000 0.0000 0.0000 13.3206 0.0000 0.0000 0.0000 19.9010" Properties=species:S:1:pos:R:3 pbc="T T T"
Ba 1.5313 6.8013 11.4509
Ba 1.8573 0.1410 18.4007
Ba 5.2458 6.5193 1.5004
Ba 4.9199 13.1796 8.4502
Ba 5.2458 6.5193 8.4502
Ba 4.9199 13.1796 1.5004
Ba 1.5313 6.8013 18.4007
Ba 1.8573 0.1410 11.4509
Ba 1.2792 10.1936 1.4896
Ba 2.1094 3.5332 8.4609
Ba 5.4979 3.1271 11.4401
Ba 4.6678 9.7874 18.4115
Ba 5.4979 3.1271 18.4115
Ba 4.6678 9.7874 11.4401
Ba 1.2792 10.1936 8.4609
Ba 2.1094 3.5332 1.4896
Ba 5.5165 10.2325 4.9753
Ba 4.6492 3.5722 4.9753
Ba 1.2607 3.0881 14.9258
Ba 2.1279 9.7485 14.9258
Ba 2.2833 13.0481 4.9753
Ba 1.1053 6.3878 4.9753
Ba 4.4938 0.2725 14.9258
Ba 5.6719 6.9329 14.9258
Ga 3.2746 8.3571 3.2817
Ga 0.1140 1.6967 6.6688
Ga 3.5025 4.9636 13.2322
Ga 6.6632 11.6239 16.6194
Ga 3.5025 4.9636 16.6194
Ga 6.6632 11.6239 13.2322
Ga 3.2746 8.3571 6.6688
Ga 0.1140 1.6967 3.2817
As 1.9810 9.7132 4.9753
As 1.4076 3.0529 4.9753
As 4.7961 3.6074 14.9258
As 5.3696 10.2677 14.9258
As 4.5754 6.9557 4.9753
As 5.5903 0.2954 4.9753
As 2.2017 6.3649 14.9258
As 1.1869 13.0252 14.9258
As 1.8551 6.8773 1.8080
As 1.5335 0.2170 8.1425
As 4.9220 6.4433 11.7585
As 5.2437 13.1036 18.0931
As 4.9220 6.4433 18.0931
As 5.2437 13.1036 11.7585
As 1.8551 6.8773 8.1425
As 1.5335 0.2170 1.8080
As 1.3036 10.1137 11.7801
As 2.0849 3.4534 18.0715
As 5.4735 3.2069 1.8296
As 4.6922 9.8673 8.1209
As 5.4735 3.2069 8.1209
As 4.6922 9.8673 1.8296
As 1.3036 10.1137 18.0715
As 2.0849 3.4534 11.7801
```



Record 6
Ca2PtAu | meta-GGA SCAN | PBEsol geometry

Calculated values
N(E_F)   1.49 states/eV/cell
Crystal system   tetragonal
Energy of formation   -3.25 eV per formula unit

```
4
Lattice="4.1825 0.0000 0.0000 0.0000 4.1825 0.0000 -2.0913 -2.0913 4.7874" Properties=species:S:1:pos:R:3 pbc="T T T"
Ca 0.0000 0.0000 0.0000
Ca 2.0913 0.0000 2.3937
Au 0.0000 2.0913 2.3937
Pt 2.0913 2.0913 0.0000
```



Record 7
LaGa2SiPt | meta-GGA SCAN | PBEsol geometry

Calculated values
Raw formation energy   1.6527 eV/atom
N(E_F)   3.73 states/eV/cell
Crystal system   tetragonal

```
5
Lattice="-2.9402 -1.7838 -3.8912 -1.5228 -4.1600 3.0576 -4.1674 2.8722 1.8322" Properties=species:S:1:pos:R:3 pbc="T T T"
Si -1.4701 -0.8919 -1.9456
Ga -2.0837 1.4361 0.9161
Ga -0.7614 -2.0800 1.5288
Pt -4.3152 -1.5358 0.4993
La 0.0000 0.0000 0.0000
```



Record 8
CuSi2Ni | meta-GGA SCAN | PBEsol geometry

Calculated values
Raw formation energy   0.0244 eV/atom
N(E_F)   1.90 states/eV/cell
Crystal system   tetragonal

```
4
Lattice="-1.6623 -1.9114 2.6199 3.2204 -1.3201 1.0802 -0.4075 4.3435 0.3758" Properties=species:S:1:pos:R:3 pbc="T T T"
Cu 0.7790 -1.6158 1.8501
Ni 0.0000 0.0000 0.0000
Si -0.6454 0.4081 2.4229
Si 1.7960 0.7038 1.6531
```